Below is a geometry-optimized SrFe2MoO6 structure, with properties calculated at the GGA+U level.

Cell and atoms, written as CIF:
```
data_SrFe2MoO6
_chemical_formula_sum 'Sr1 Fe2 Mo1 O6'
_cell_length_a 5.5008
_cell_length_b 5.5354
_cell_length_c 5.8395
_cell_angle_alpha 117.50
_cell_angle_beta 90.68
_cell_angle_gamma 119.72
_symmetry_space_group_name_H-M 'P 1'
_symmetry_Int_Tables_number 1
_symmetry_space_group_name_Hall 'P 1'
loop_
_atom_site_label
_atom_site_fract_x
_atom_site_fract_y
_atom_site_fract_z
Sr1 0.0000 0.0000 0.0000
Fe1 0.2286 0.4550 0.6711
Fe2 0.7247 0.4504 0.1618
Mo1 0.5168 0.0408 0.5528
O1 0.1416 0.6238 0.3776
O2 0.3821 0.2915 0.8469
O3 0.4495 0.2358 0.3846
O4 0.5576 0.9373 0.8341
O5 0.7545 0.9179 0.3737
O6 0.9068 0.4631 0.8250
```

Output
Energy (eV/atom): -6.77
Spin magnetization (μB per cell): 8.00